This record from Alexandria via LeMat-Bulk describes a relaxed CaScS2N crystal. The functional is PBE.

It has space group P4/mmm (No. 123), with a = 5.1413 Å, b = 5.1413 Å, c = 4.2766 Å, α = 90.00°, β = 90.00° and γ = 90.00°. Symmetry generates all atoms from Ca at (0.0000, 0.0000, 0.0000), Sc at (0.5000, 0.5000, 0.5000), S at (0.0000, 0.5000, 0.0000) and N at (0.0000, 0.0000, 0.5000).

Its calculated total energy is -24.4 eV for the cell shown. The value obtained for the density of states at the Fermi level is 1.852 states/eV per cell. For the size of the total moment, the calculation gives 2.0 μB per formula unit. The value obtained for the energy above the lowest structure with this stoichiometry is 1011 meV/atom.

***

This record from Alexandria via LeMat-Bulk describes a relaxed Pr2HoGa crystal. The functional is PBE.

It has space group P4/mmm (No. 123), with a = 4.8300 Å, b = 4.8300 Å, c = 4.8729 Å, α = 90.00°, β = 90.00° and γ = 90.00°. Symmetry generates all atoms from Pr at (0.0000, 0.5000, 0.0000), Ho at (0.0000, 0.0000, 0.5000) and Ga at (0.5000, 0.5000, 0.5000).

Its formation enthalpy at 0 K is -0.223 eV per atom. Its calculated total energy is -18.1 eV for the cell shown. The value obtained for the density of states at the Fermi level is 5.882 states/eV per cell. For the size of the total moment, the calculation gives 0.0 μB per formula unit. The value obtained for the energy above the lowest structure with this stoichiometry is 30 meV/atom.

***

This record from Alexandria via LeMat-Bulk describes a relaxed SrCdP crystal. The functional is PBE.

It has space group R-3m (No. 166, hexagonal axes), with a = 5.1442 Å, b = 5.1442 Å, c = 26.7221 Å, α = 90.00°, β = 90.00° and γ = 120.00°. Symmetry generates all atoms from Sr at (0.0000, 0.0000, 0.1081), Cd at (0.0000, 0.0000, 0.3151) and P at (0.0000, 0.0000, 0.2219).

Its formation enthalpy at 0 K is -0.401 eV per atom. Its calculated total energy is -55.3 eV for the cell shown. The value obtained for the density of states at the Fermi level is 14.349 states/eV per cell. For the size of the total moment, the calculation gives 0.0 μB per formula unit. The value obtained for the energy above the lowest structure with this stoichiometry is 175 meV/atom.